# 1
The following is a DFT calculation (GGA-PBE) of crystalline HgCSCl2 at its relaxed geometry. Values from VASP.

Results
**Total DFT energy (no corrections)**: -2.48 eV per atom
**Formation energy (no corrections)**: 95.6 kJ per mole of atoms
**Magnetic moment**: 0.00 μB/cell
**ΔE to the lowest computed polymorph**: 0.0 meV/atom

The structure in Quantum ESPRESSO input format:
```
&SYSTEM
  ibrav = 0, nat = 5, ntyp = 4
/
ATOMIC_SPECIES
Hg 200.59 Hg.upf
Cl 35.45 Cl.upf
C 12.01 C.upf
S 32.06 S.upf
ATOMIC_POSITIONS crystal
Hg 0.5000 0.5000 0.5000
Cl 0.5000 0.0000 0.0000
Cl 0.0000 0.5000 0.0000
C 0.0000 0.0000 0.0000
S 0.0000 0.0000 0.5000
CELL_PARAMETERS angstrom
4.6366 0.0000 0.0000
0.0000 4.6366 0.0000
0.0000 0.0000 4.1825
```

# 2
The following is a DFT calculation (GGA-PBE) of crystalline HgCSe2Cl at its relaxed geometry. Values from VASP.

Results
**Total DFT energy (no corrections)**: -2.76 eV per atom
**Formation energy (no corrections)**: 87.3 kJ per mole of atoms
**Magnetic moment**: 0.00 μB/cell

The structure in Quantum ESPRESSO input format:
```
&SYSTEM
  ibrav = 0, nat = 5, ntyp = 4
/
ATOMIC_SPECIES
Se 78.96 Se.upf
C 12.01 C.upf
Hg 200.59 Hg.upf
Cl 35.45 Cl.upf
ATOMIC_POSITIONS crystal
Se 0.5000 0.0000 0.0000
Se 0.0000 0.0000 0.5000
C 0.0000 0.0000 0.0000
Hg 0.0000 0.5000 0.0000
Cl 0.5000 0.5000 0.5000
CELL_PARAMETERS angstrom
4.1874 0.0000 0.0000
0.0000 7.1736 0.0000
0.0000 0.0000 4.1874
```

# 3
The following is a DFT calculation (GGA-PBE) of crystalline Sm3HgCCl at its relaxed geometry. Values from VASP.

Results
**Total DFT energy (no corrections)**: -4.87 eV per atom
**Formation energy (no corrections)**: -59.4 kJ per mole of atoms
**Magnetic moment**: 1.90 μB/cell

The structure in Quantum ESPRESSO input format:
```
&SYSTEM
  ibrav = 0, nat = 12, ntyp = 4
/
ATOMIC_SPECIES
Sm 150.36 Sm.upf
Cl 35.45 Cl.upf
Hg 200.59 Hg.upf
C 12.01 C.upf
ATOMIC_POSITIONS crystal
Sm 0.7500 0.8233 0.1149
Sm 0.7500 0.3421 0.5835
Sm 0.2500 0.6579 0.4165
Sm 0.2500 0.5574 0.8540
Sm 0.7500 0.4426 0.1460
Sm 0.2500 0.1767 0.8851
Cl 0.2500 0.1177 0.5879
Cl 0.7500 0.8823 0.4121
Hg 0.7500 0.8211 0.7626
Hg 0.2500 0.1789 0.2374
C 0.7500 0.3569 0.8607
C 0.2500 0.6431 0.1393
CELL_PARAMETERS angstrom
-1.0231 2.4565 2.6888
5.1265 -4.4626 6.0278
6.6416 5.5914 -2.5812
```

# 4
The following is a DFT calculation (GGA-PBE) of crystalline V2HgCCl at its relaxed geometry. Values from VASP.

Results
**Total DFT energy (no corrections)**: -5.22 eV per atom
**Formation energy (no corrections)**: 67.3 kJ per mole of atoms
**Magnetic moment**: 3.58 μB/cell

The structure in Quantum ESPRESSO input format:
```
&SYSTEM
  ibrav = 0, nat = 5, ntyp = 4
/
ATOMIC_SPECIES
Hg 200.59 Hg.upf
Cl 35.45 Cl.upf
V 50.94 V.upf
C 12.01 C.upf
ATOMIC_POSITIONS crystal
Hg 0.5000 0.5000 0.5000
Cl 0.0000 0.5000 0.0000
V 0.0000 0.0000 0.5000
V 0.5000 0.0000 0.0000
C 0.0000 0.0000 0.0000
CELL_PARAMETERS angstrom
4.0842 0.0000 0.0000
0.0000 5.2034 0.0000
0.0000 0.0000 4.0842
```

# 5
The following is a DFT calculation (GGA-PBE) of crystalline Y3HgCCl at its relaxed geometry. Values from VASP.

Results
**Total DFT energy (no corrections)**: -5.81 eV per atom
**Formation energy (no corrections)**: -66.0 kJ per mole of atoms
**Magnetic moment**: 1.55 μB/cell

The structure in Quantum ESPRESSO input format:
```
&SYSTEM
  ibrav = 0, nat = 12, ntyp = 4
/
ATOMIC_SPECIES
Cl 35.45 Cl.upf
C 12.01 C.upf
Hg 200.59 Hg.upf
Y 88.91 Y.upf
ATOMIC_POSITIONS crystal
Cl 0.2500 0.1219 0.5849
Cl 0.7500 0.8781 0.4151
C 0.7500 0.3591 0.8624
C 0.2500 0.6409 0.1376
Hg 0.2500 0.1688 0.2283
Hg 0.7500 0.8312 0.7717
Y 0.2500 0.5577 0.8547
Y 0.7500 0.4423 0.1453
Y 0.7500 0.3469 0.5839
Y 0.2500 0.1756 0.8835
Y 0.7500 0.8244 0.1165
Y 0.2500 0.6531 0.4161
CELL_PARAMETERS angstrom
3.7038 0.0000 0.0000
0.0000 8.7585 1.3177
0.0000 -1.8888 8.6582
```

# 6
The following is a DFT calculation (GGA-PBE) of crystalline Ho2CCl2 at its relaxed geometry. Values from VASP.

Results
**Total DFT energy (no corrections)**: -5.83 eV per atom
**Formation energy (no corrections)**: -137.0 kJ per mole of atoms
**Magnetic moment**: 0.00 μB/cell

The structure in Quantum ESPRESSO input format:
```
&SYSTEM
  ibrav = 0, nat = 5, ntyp = 3
/
ATOMIC_SPECIES
Cl 35.45 Cl.upf
C 12.01 C.upf
Ho 164.93 Ho.upf
ATOMIC_POSITIONS crystal
Cl 0.1044 0.1044 0.6867
Cl 0.8956 0.8956 0.3133
C 0.0000 0.0000 0.0000
Ho 0.3778 0.3778 0.8666
Ho 0.6222 0.6222 0.1334
CELL_PARAMETERS angstrom
3.5764 0.0000 0.5614
1.7442 3.1223 0.5614
0.1914 0.1123 10.4532
```

# 7
The following is a DFT calculation (GGA-PBE) of crystalline Ho4C2Cl at its relaxed geometry. Values from VASP.

Results
**Total DFT energy (no corrections)**: -6.27 eV per atom
**Formation energy (no corrections)**: -73.1 kJ per mole of atoms
**Magnetic moment**: 0.00 μB/cell

The structure in Quantum ESPRESSO input format:
```
&SYSTEM
  ibrav = 0, nat = 7, ntyp = 3
/
ATOMIC_SPECIES
Ho 164.93 Ho.upf
C 12.01 C.upf
Cl 35.45 Cl.upf
ATOMIC_POSITIONS crystal
Ho 0.1227 0.1227 0.6318
Ho 0.8773 0.8773 0.3682
Ho 0.7217 0.7217 0.8350
Ho 0.2783 0.2783 0.1650
C 0.4197 0.4197 0.7410
C 0.5803 0.5803 0.2590
Cl 0.0000 0.0000 0.0000
CELL_PARAMETERS angstrom
-3.2756 0.5015 -1.4043
-2.0717 -2.8344 -0.7919
-6.8290 -0.4138 11.1687
```

# 8
The following is a DFT calculation (GGA-PBE) of crystalline Ho3CCl3 at its relaxed geometry. Values from VASP.

Results
**Total DFT energy (no corrections)**: -5.61 eV per atom
**Formation energy (no corrections)**: -148.2 kJ per mole of atoms
**Magnetic moment**: 0.00 μB/cell

The structure in Quantum ESPRESSO input format:
```
&SYSTEM
  ibrav = 0, nat = 14, ntyp = 3
/
ATOMIC_SPECIES
Ho 164.93 Ho.upf
C 12.01 C.upf
Cl 35.45 Cl.upf
ATOMIC_POSITIONS crystal
Ho 0.2500 0.9101 0.6091
Ho 0.2500 0.3215 0.6241
Ho 0.7500 0.1252 0.8405
Ho 0.7500 0.6785 0.3759
Ho 0.7500 0.0899 0.3909
Ho 0.2500 0.8748 0.1595
C 0.2500 0.8738 0.3774
C 0.7500 0.1262 0.6226
Cl 0.7500 0.6247 0.1244
Cl 0.2500 0.3789 0.3719
Cl 0.7500 0.1261 0.1230
Cl 0.2500 0.8739 0.8770
Cl 0.2500 0.3753 0.8756
Cl 0.7500 0.6211 0.6281
CELL_PARAMETERS angstrom
3.6836 0.0000 0.0000
0.0000 7.8799 -0.3867
0.0000 0.0346 10.7416
```

# 9
The following is a DFT calculation (GGA-PBE) of crystalline Ho2CCl3 at its relaxed geometry. Values from VASP.

Results
**Total DFT energy (no corrections)**: -5.56 eV per atom
**Formation energy (no corrections)**: -151.8 kJ per mole of atoms
**Magnetic moment**: 0.00 μB/cell

The structure in Quantum ESPRESSO input format:
```
&SYSTEM
  ibrav = 0, nat = 12, ntyp = 3
/
ATOMIC_SPECIES
C 12.01 C.upf
Cl 35.45 Cl.upf
Ho 164.93 Ho.upf
ATOMIC_POSITIONS crystal
C 0.5393 0.5135 0.4080
C 0.4607 0.4865 0.5920
Cl 0.9614 0.8677 0.2095
Cl 0.0386 0.1323 0.7905
Cl 0.6672 0.6564 0.0093
Cl 0.7760 0.8272 0.6208
Cl 0.2240 0.1728 0.3792
Cl 0.3328 0.3436 0.9907
Ho 0.4042 0.7699 0.4218
Ho 0.5958 0.2301 0.5782
Ho 0.8753 0.4885 0.7608
Ho 0.1247 0.5115 0.2392
CELL_PARAMETERS angstrom
3.9018 0.0000 0.0000
1.9509 8.5216 0.1636
1.9509 2.1728 8.4458
```

# 10
The following is a DFT calculation (GGA-PBE) of crystalline Ho3C2Cl at its relaxed geometry. Values from VASP.

Results
**Total DFT energy (no corrections)**: -6.50 eV per atom
**Formation energy (no corrections)**: -79.7 kJ per mole of atoms
**Magnetic moment**: 0.00 μB/cell

The structure in Quantum ESPRESSO input format:
```
&SYSTEM
  ibrav = 0, nat = 12, ntyp = 3
/
ATOMIC_SPECIES
Ho 164.93 Ho.upf
Cl 35.45 Cl.upf
C 12.01 C.upf
ATOMIC_POSITIONS crystal
Ho 0.0254 0.0507 0.2743
Ho 0.6643 0.3286 0.5689
Ho 0.6404 0.2807 0.0961
Ho 0.9746 0.9493 0.7257
Ho 0.3357 0.6714 0.4311
Ho 0.3596 0.7193 0.9039
Cl 0.3291 0.6581 0.1571
Cl 0.6709 0.3419 0.8429
C 0.6656 0.3311 0.3324
C 0.0000 0.0000 0.0000
C 0.3344 0.6689 0.6676
C 0.0000 0.0000 0.5000
CELL_PARAMETERS angstrom
3.6367 0.0000 0.0000
-1.8184 6.0377 -1.7226
0.0000 -1.7926 10.4129
```

# 11
The following is a DFT calculation (GGA-PBE) of crystalline Ho6C2NCl3 at its relaxed geometry. Values from VASP.

Results
**Total DFT energy (no corrections)**: -6.25 eV per atom
**Formation energy (no corrections)**: -122.5 kJ per mole of atoms
**Magnetic moment**: 0.00 μB/cell

The structure in Quantum ESPRESSO input format:
```
&SYSTEM
  ibrav = 0, nat = 12, ntyp = 4
/
ATOMIC_SPECIES
C 12.01 C.upf
Cl 35.45 Cl.upf
Ho 164.93 Ho.upf
N 14.01 N.upf
ATOMIC_POSITIONS crystal
C 0.3334 0.6666 0.0000
C 0.6666 0.3334 0.0000
Cl 0.1680 0.8320 0.5000
Cl 0.8320 0.1680 0.5000
Cl 0.5000 0.5000 0.5000
Ho 0.9379 0.6061 0.8137
Ho 0.0621 0.3939 0.1863
Ho 0.6061 0.9379 0.8137
Ho 0.3939 0.0621 0.1863
Ho 0.2696 0.2696 0.8136
Ho 0.7304 0.7304 0.1864
N 0.0000 0.0000 0.0000
CELL_PARAMETERS angstrom
-3.5734 -4.7430 -1.8638
5.5701 -1.1124 2.5448
-3.4989 1.6938 5.8618
```

# 12
The following is a DFT calculation (GGA-PBE) of crystalline PrHoCCl at its relaxed geometry. Values from VASP.

Results
**Total DFT energy (no corrections)**: -6.15 eV per atom
**Formation energy (no corrections)**: -100.6 kJ per mole of atoms
**Magnetic moment**: 0.00 μB/cell

The structure in Quantum ESPRESSO input format:
```
&SYSTEM
  ibrav = 0, nat = 4, ntyp = 4
/
ATOMIC_SPECIES
Pr 140.91 Pr.upf
Cl 35.45 Cl.upf
Ho 164.93 Ho.upf
C 12.01 C.upf
ATOMIC_POSITIONS crystal
Pr 0.5102 0.1530 0.6786
Cl 0.9544 0.3752 0.3448
Ho 0.0957 0.9458 0.0567
C 0.3176 0.5567 0.8896
CELL_PARAMETERS angstrom
3.6892 -0.0005 -0.0002
-1.8442 3.1953 0.0000
-1.8444 -1.0647 7.1092
```